Run P
VASP calculation (GGA-PBE) on crystalline CsMg14Zr at its relaxed geometry.

abc: 6.638 6.638 10.571
angles: 90.00 90.00 120.00
Fractional positions:
Mg (0.996, 0.498, 0.000)
Zr (0.000, 0.000, 0.000)
Mg (0.658, 0.829, 0.770)
Mg (0.667, 0.333, 0.744)
Cs (0.000, 0.000, 0.500)
Mg (0.658, 0.829, 0.230)
Mg (0.502, 0.498, 0.000)
Mg (0.502, 0.004, 0.000)
Mg (0.495, 0.505, 0.500)
Mg (0.495, 0.990, 0.500)
Mg (0.667, 0.333, 0.256)
Mg (0.171, 0.829, 0.770)
Mg (0.010, 0.505, 0.500)
Mg (0.171, 0.342, 0.230)
Mg (0.171, 0.829, 0.230)
Mg (0.171, 0.342, 0.770)

Properties
The calculation puts the density of states at the Fermi level at 9.3 states/eV/cell. Its space-group type is P-6m2.

***

Run Q
VASP calculation (GGA-PBE) on crystalline CsMg14Zr at its relaxed geometry.

abc: 6.436 6.436 10.375
angles: 90.00 90.00 112.21
Fractional positions:
Mg (0.132, 0.353, 0.767)
Mg (0.132, 0.353, 0.233)
Zr (0.887, 0.113, 0.500)
Mg (0.656, 0.344, 0.255)
Mg (0.126, 0.874, 0.753)
Mg (0.647, 0.868, 0.233)
Mg (0.348, 0.184, 0.000)
Mg (0.319, 0.681, 0.000)
Mg (0.647, 0.868, 0.767)
Mg (0.384, 0.102, 0.500)
Mg (0.126, 0.874, 0.247)
Mg (0.816, 0.652, 0.000)
Mg (0.898, 0.616, 0.500)
Mg (0.834, 0.166, 0.000)
Cs (0.394, 0.606, 0.500)
Mg (0.656, 0.344, 0.745)

Properties
The calculation puts the density of states at the Fermi level at 7.9 states/eV/cell. Its space-group type is Amm2.

***

Need the numbers? Relative energies in meV/atom: run P 0; run Q 27.